[1]
{"formula": "ScFe2Sn2", "functional": "PBE", "state": "relaxed", "total_magnetization_mub_per_fu": 2.28, "delta_e_f_ev_per_atom": 0.00, "spacegroup": "P4/mbm, No. 127", "density_g_cm3": 7.63, "lattice": [[7.2452, 0.0000, 0.0000], [0.0000, 7.2452, 0.0000], [0.0000, 0.0000, 3.2684]], "species": ["Sc", "Sc", "Fe", "Fe", "Fe", "Fe", "Sn", "Sn", "Sn", "Sn"], "fractional_positions": [[0.0000, 0.0000, 0.0000], [0.5000, 0.5000, 0.0000], [0.1295, 0.3705, 0.0000], [0.3705, 0.8705, 0.0000], [0.6295, 0.1295, 0.0000], [0.8705, 0.6295, 0.0000], [0.1643, 0.6643, 0.5000], [0.3357, 0.1643, 0.5000], [0.6643, 0.8357, 0.5000], [0.8357, 0.3357, 0.5000]]}



[2]
{"formula": "ScFeSn", "functional": "PBE", "state": "relaxed", "total_magnetization_mub_per_fu": 0.00, "delta_e_f_ev_per_atom": -0.02, "spacegroup": "Cmmm, No. 65", "density_g_cm3": 5.91, "lattice": [[8.5244, 0.0000, 0.0000], [0.0000, 9.0232, 0.0000], [0.0000, 0.0000, 3.2056]], "species": ["Sc", "Sc", "Sc", "Sc", "Fe", "Fe", "Fe", "Fe", "Sn", "Sn", "Sn", "Sn"], "fractional_positions": [[0.2193, 0.0000, 0.0000], [0.2807, 0.5000, 0.0000], [0.7193, 0.5000, 0.0000], [0.7807, 0.0000, 0.0000], [0.0000, 0.0000, 0.5000], [0.0000, 0.5000, 0.0000], [0.5000, 0.0000, 0.0000], [0.5000, 0.5000, 0.5000], [0.0000, 0.2748, 0.5000], [0.0000, 0.7252, 0.5000], [0.5000, 0.2252, 0.5000], [0.5000, 0.7748, 0.5000]]}



[3]
{"formula": "ScFe2Sn", "functional": "PBE", "state": "relaxed", "total_magnetization_mub_per_fu": 4.50, "delta_e_f_ev_per_atom": 0.40, "spacegroup": "I-42d, No. 122", "density_g_cm3": 6.25, "lattice": [[7.2289, 0.0000, 0.0000], [0.0000, 7.2289, 0.0000], [0.0000, 0.0000, 5.5977]], "species": ["Sc", "Sc", "Sc", "Sc", "Fe", "Fe", "Fe", "Fe", "Fe", "Fe", "Fe", "Fe", "Sn", "Sn", "Sn", "Sn"], "fractional_positions": [[0.0000, 0.0000, 0.0000], [0.0000, 0.5000, 0.2500], [0.5000, 0.0000, 0.7500], [0.5000, 0.5000, 0.5000], [0.2429, 0.2500, 0.6250], [0.2500, 0.7429, 0.8750], [0.2500, 0.7571, 0.3750], [0.2571, 0.2500, 0.1250], [0.7429, 0.7500, 0.1250], [0.7500, 0.2429, 0.3750], [0.7500, 0.2571, 0.8750], [0.7571, 0.7500, 0.6250], [0.0000, 0.0000, 0.5000], [0.0000, 0.5000, 0.7500], [0.5000, 0.0000, 0.2500], [0.5000, 0.5000, 0.0000]]}



[4]
{"formula": "ScFe2Sn2", "functional": "PBE", "state": "relaxed", "total_magnetization_mub_per_fu": 0.00, "delta_e_f_ev_per_atom": 0.07, "spacegroup": "I4/mmm, No. 139", "density_g_cm3": 7.12, "lattice": [[4.4307, 0.0000, 0.0000], [0.0000, 4.4307, 0.0000], [0.0000, 0.0000, 9.3612]], "species": ["Sc", "Sc", "Fe", "Fe", "Fe", "Fe", "Sn", "Sn", "Sn", "Sn"], "fractional_positions": [[0.0000, 0.0000, 0.0000], [0.5000, 0.5000, 0.5000], [0.0000, 0.0000, 0.3912], [0.0000, 0.0000, 0.6088], [0.5000, 0.5000, 0.1088], [0.5000, 0.5000, 0.8912], [0.0000, 0.5000, 0.2500], [0.0000, 0.5000, 0.7500], [0.5000, 0.0000, 0.2500], [0.5000, 0.0000, 0.7500]]}



[5]
{"formula": "ScFeSn4", "functional": "PBE", "state": "relaxed", "total_magnetization_mub_per_fu": 2.10, "delta_e_f_ev_per_atom": 0.04, "spacegroup": "P4_2/mmc, No. 131", "density_g_cm3": 6.52, "lattice": [[6.7793, 0.0000, 0.0000], [0.0000, 6.7793, 0.0000], [0.0000, 0.0000, 6.3804]], "species": ["Sc", "Sc", "Fe", "Fe", "Sn", "Sn", "Sn", "Sn", "Sn", "Sn", "Sn", "Sn"], "fractional_positions": [[0.0000, 0.0000, 0.2500], [0.0000, 0.0000, 0.7500], [0.0000, 0.5000, 0.0000], [0.5000, 0.0000, 0.5000], [0.2486, 0.2911, 0.5000], [0.2486, 0.7089, 0.5000], [0.2911, 0.2486, 0.0000], [0.2911, 0.7514, 0.0000], [0.7089, 0.2486, 0.0000], [0.7089, 0.7514, 0.0000], [0.7514, 0.2911, 0.5000], [0.7514, 0.7089, 0.5000]]}



[6]
{"formula": "ScFe2Sn2", "functional": "PBE", "state": "relaxed", "total_magnetization_mub_per_fu": 0.00, "delta_e_f_ev_per_atom": 0.14, "spacegroup": "I4/mmm, No. 139", "density_g_cm3": 6.96, "lattice": [[4.1331, 0.0000, 0.0000], [0.0000, 4.1331, 0.0000], [0.0000, 0.0000, 11.0074]], "species": ["Sc", "Sc", "Fe", "Fe", "Fe", "Fe", "Sn", "Sn", "Sn", "Sn"], "fractional_positions": [[0.0000, 0.0000, 0.0000], [0.5000, 0.5000, 0.5000], [0.0000, 0.5000, 0.2500], [0.0000, 0.5000, 0.7500], [0.5000, 0.0000, 0.2500], [0.5000, 0.0000, 0.7500], [0.0000, 0.0000, 0.3745], [0.0000, 0.0000, 0.6255], [0.5000, 0.5000, 0.1255], [0.5000, 0.5000, 0.8745]]}



[7]
{"formula": "Sc3FeSn", "functional": "PBE", "state": "relaxed", "total_magnetization_mub_per_fu": 0.00, "delta_e_f_ev_per_atom": -0.18, "spacegroup": "Pm-3m, No. 221", "density_g_cm3": 4.67, "lattice": [[4.7924, 0.0000, 0.0000], [0.0000, 4.7924, 0.0000], [0.0000, 0.0000, 4.7924]], "species": ["Sc", "Sc", "Sc", "Fe", "Sn"], "fractional_positions": [[0.0000, 0.0000, 0.5000], [0.0000, 0.5000, 0.0000], [0.5000, 0.0000, 0.0000], [0.0000, 0.0000, 0.0000], [0.5000, 0.5000, 0.5000]]}



[8]
{"formula": "Sc2FeSn2", "functional": "PBE", "state": "relaxed", "total_magnetization_mub_per_fu": 1.83, "delta_e_f_ev_per_atom": -0.32, "spacegroup": "P4/mbm, No. 127", "density_g_cm3": 6.02, "lattice": [[6.9439, 0.0000, 0.0000], [0.0000, 6.9439, 0.0000], [0.0000, 0.0000, 4.3862]], "species": ["Sc", "Sc", "Sc", "Sc", "Fe", "Fe", "Sn", "Sn", "Sn", "Sn"], "fractional_positions": [[0.1660, 0.3340, 0.0000], [0.3340, 0.8340, 0.0000], [0.6660, 0.1660, 0.0000], [0.8340, 0.6660, 0.0000], [0.0000, 0.0000, 0.5000], [0.5000, 0.5000, 0.5000], [0.1473, 0.6473, 0.5000], [0.3527, 0.1473, 0.5000], [0.6473, 0.8527, 0.5000], [0.8527, 0.3527, 0.5000]]}